1.
Computed, not measured: an optimized crystal structure of NaSn3Pt2 at the PBE-GGA level of DFT.

Space group = C2/m (12)

```
data_NaSn3Pt2
_chemical_formula_sum 'Na3 Sn9 Pt6'
_space_group_name_H-M_alt 'P 1'
_space_group_IT_number 1
_cell_length_a 9.020
_cell_length_b 9.020
_cell_length_c 11.741
_cell_angle_alpha 111.49
_cell_angle_beta 111.49
_cell_angle_gamma 28.33
loop_
_space_group_symop_operation_xyz
'x,y,z'
loop_
_atom_site_label
_atom_site_type_symbol
_atom_site_fract_x
_atom_site_fract_y
_atom_site_fract_z
_atom_site_occupancy
Na1 Na 0.000 0.000 0.000 1
Na2 Na 0.165 0.165 0.718 1
Na3 Na 0.835 0.835 0.282 1
Sn1 Sn 0.028 0.028 0.340 1
Sn2 Sn 0.222 0.222 0.380 1
Sn3 Sn 0.321 0.321 0.040 1
Sn4 Sn 0.382 0.382 0.823 1
Sn5 Sn 0.500 0.500 0.500 1
Sn6 Sn 0.618 0.618 0.177 1
Sn7 Sn 0.679 0.679 0.960 1
Sn8 Sn 0.778 0.778 0.620 1
Sn9 Sn 0.972 0.972 0.660 1
Pt1 Pt 0.196 0.196 0.127 1
Pt2 Pt 0.364 0.364 0.575 1
Pt3 Pt 0.472 0.472 0.207 1
Pt4 Pt 0.528 0.528 0.793 1
Pt5 Pt 0.636 0.636 0.425 1
Pt6 Pt 0.804 0.804 0.873 1
```

2.
Computed, not measured: an optimized crystal structure of NaSn4Pt2 at the PBE-GGA level of DFT.

Space group = Pnma (62)

```
data_NaSn4Pt2
_chemical_formula_sum 'Na4 Sn16 Pt8'
_space_group_name_H-M_alt 'P 1'
_space_group_IT_number 1
_cell_length_a 18.647
_cell_length_b 4.508
_cell_length_c 7.463
_cell_angle_alpha 90.00
_cell_angle_beta 90.00
_cell_angle_gamma 90.00
loop_
_space_group_symop_operation_xyz
'x,y,z'
loop_
_atom_site_label
_atom_site_type_symbol
_atom_site_fract_x
_atom_site_fract_y
_atom_site_fract_z
_atom_site_occupancy
Na1 Na 0.144 0.250 0.028 1
Na2 Na 0.356 0.750 0.528 1
Na3 Na 0.644 0.250 0.472 1
Na4 Na 0.856 0.750 0.972 1
Sn1 Sn 0.036 0.750 0.875 1
Sn2 Sn 0.066 0.250 0.473 1
Sn3 Sn 0.184 0.750 0.313 1
Sn4 Sn 0.192 0.750 0.742 1
Sn5 Sn 0.308 0.250 0.242 1
Sn6 Sn 0.316 0.250 0.813 1
Sn7 Sn 0.434 0.750 0.973 1
Sn8 Sn 0.464 0.250 0.375 1
Sn9 Sn 0.536 0.750 0.625 1
Sn10 Sn 0.566 0.250 0.027 1
Sn11 Sn 0.684 0.750 0.187 1
Sn12 Sn 0.692 0.750 0.758 1
Sn13 Sn 0.808 0.250 0.258 1
Sn14 Sn 0.816 0.250 0.687 1
Sn15 Sn 0.934 0.750 0.527 1
Sn16 Sn 0.964 0.250 0.125 1
Pt1 Pt 0.034 0.750 0.252 1
Pt2 Pt 0.214 0.250 0.533 1
Pt3 Pt 0.286 0.750 0.033 1
Pt4 Pt 0.466 0.250 0.752 1
Pt5 Pt 0.534 0.750 0.248 1
Pt6 Pt 0.714 0.250 0.967 1
Pt7 Pt 0.786 0.750 0.467 1
Pt8 Pt 0.966 0.250 0.748 1
```

Number 1: VASP energy -4.6272 eV/atom, magnetic moment 0.0 μB/cell. Number 2: VASP energy -4.6682 eV/atom, magnetic moment 0.0 μB/cell.